Entry from the Alexandria database: a relaxed structure of Ac8Sm6Ho (PBE-GGA).

Properties
Crystal system: trigonal
Density of states at the Fermi level, states/eV/f.u.: 24.1
Calculated formation energy, eV/atom: 0.24
Calculated total energy, eV/cell: -62.2
Space group: R-3

abc: 9.229 9.229 9.229
angles: 66.47 66.47 66.47
Element x y z (fractional)
Ac 0.090 0.677 0.362
Ac 0.229 0.229 0.229
Ac 0.323 0.638 0.910
Ac 0.362 0.090 0.677
Ac 0.638 0.910 0.323
Ac 0.677 0.362 0.090
Ac 0.771 0.771 0.771
Ac 0.910 0.323 0.638
Sm 0.131 0.442 0.817
Sm 0.183 0.869 0.558
Sm 0.442 0.817 0.131
Sm 0.558 0.183 0.869
Sm 0.817 0.131 0.442
Sm 0.869 0.558 0.183
Ho 0.500 0.500 0.500